Entry 1:
Cs2VRhI6 | PBE | optimized geometry

Cell: 8.075 8.075 8.075 Å, 60.00 60.00 60.00°
Fractional positions:
Cs  0.250  0.250  0.250
Cs  0.750  0.750  0.750
V  0.000  0.000  0.000
Rh  0.500  0.500  0.500
I  0.252  0.252  0.748
I  0.252  0.748  0.252
I  0.252  0.748  0.748
I  0.748  0.252  0.252
I  0.748  0.252  0.748
I  0.748  0.748  0.252

Results
Crystal system ... cubic
Raw formation energy ... -0.6625 eV per atom
SG ... Fm-3m, No. 225
Total moment ... 4.0 Bohr magnetons per cell



Entry 2:
Rb3Tl5Pt6 | PBE | optimized geometry

Cell: 9.243 9.243 9.243 Å, 150.34 102.24 85.36°
Fractional positions:
Rb  0.000  0.000  0.000
Rb  0.312  0.312  0.000
Rb  0.688  0.688  0.000
Tl  0.013  0.688  0.325
Tl  0.363  0.688  0.675
Tl  0.500  0.000  0.500
Tl  0.637  0.312  0.325
Tl  0.987  0.312  0.675
Pt  0.179  0.899  0.280
Pt  0.281  0.500  0.781
Pt  0.381  0.101  0.280
Pt  0.619  0.899  0.720
Pt  0.719  0.500  0.219
Pt  0.821  0.101  0.720

Results
Crystal system ... orthorhombic
SG ... Immm, No. 71
Total moment ... 0.0 Bohr magnetons per cell
ΔH_f (0 K) ... -2.1 eV/f.u.